{"formula": "Mn4Tc", "functional": "GGA-PBE", "state": "relaxed", "total_energy_ev_per_atom": -8.0586, "relative_energy_ev_per_atom": 0.922, "ef_mev_per_atom": 1350, "lattice": [[4.511, 0.000, 0.000], [0.000, 4.511, 0.000], [0.000, 0.000, 4.511]], "species": ["Mn", "Mn", "Mn", "Mn", "Tc"], "frac_coords": [[0.000, 0.000, 0.000], [0.000, 0.500, 0.500], [0.500, 0.000, 0.500], [0.500, 0.500, 0.000], [0.500, 0.500, 0.500]]}